PBE CdAs2IrI, optimized geometry; raw formation energy = 1929.5 meV per atom; space-group type = P4/mmm (123); DOS(E_F) = 6.794 states/eV/f.u.
1.0
5.285 0.000 0.000
0.000 5.285 0.000
0.000 0.000 5.365
Cd As Ir I
1 2 1 1
direct
0.000 0.000 0.000
0.000 0.500 0.500
0.500 0.000 0.500
0.500 0.500 0.000
0.000 0.000 0.500

***

PBE NbZn2SnN4, optimized geometry; raw formation energy = -169.5 meV per atom; space-group type = I-42m (121); DOS(E_F) = 1.292 states/eV/f.u.
1.0
4.956 0.000 0.000
0.000 4.956 0.000
0.000 0.000 9.102
Nb Zn Sn N
2 4 2 8
direct
0.000 0.000 0.000
0.500 0.500 0.500
0.000 0.500 0.250
0.000 0.500 0.750
0.500 0.000 0.250
0.500 0.000 0.750
0.000 0.000 0.500
0.500 0.500 0.000
0.233 0.233 0.875
0.233 0.767 0.125
0.267 0.267 0.375
0.267 0.733 0.625
0.733 0.267 0.625
0.733 0.733 0.375
0.767 0.233 0.125
0.767 0.767 0.875

***

PBE Pa2MnTc3, optimized geometry; formation energy from the elements = -0.9 eV/f.u.; space-group type = P6_3/mmc (194); DOS(E_F) = 8.817 states/eV/f.u.
1.0
5.400 0.000 0.000
-2.700 4.676 0.000
0.000 0.000 8.467
Pa Mn Tc
4 2 6
direct
0.333 0.667 0.075
0.333 0.667 0.425
0.667 0.333 0.575
0.667 0.333 0.925
0.000 0.000 0.000
0.000 0.000 0.500
0.169 0.338 0.750
0.169 0.831 0.750
0.338 0.169 0.250
0.662 0.831 0.750
0.831 0.169 0.250
0.831 0.662 0.250

***

PBE LaYPu2P4, optimized geometry; formation energy from the elements = -10.6 eV/f.u.; space-group type = P2/m (10); DOS(E_F) = 25.159 states/eV/f.u.
1.0
7.031 0.000 0.000
0.000 4.074 0.000
-2.363 0.000 6.636
La Y Pu P
1 1 2 4
direct
0.000 0.000 0.000
0.000 0.500 0.500
0.500 0.000 0.500
0.500 0.500 0.000
0.260 0.000 0.747
0.265 0.500 0.264
0.735 0.500 0.736
0.740 0.000 0.253

***

PBE ZrCu2O, optimized geometry; raw formation energy = -639.8 meV per atom; space-group type = I-42d (122); DOS(E_F) = 0.694 states/eV/f.u.
1.0
7.197 0.000 0.000
0.000 7.197 0.000
0.000 0.000 4.335
Zr Cu O
4 8 4
direct
0.000 0.000 0.000
0.000 0.500 0.250
0.500 0.000 0.750
0.500 0.500 0.500
0.190 0.250 0.625
0.250 0.690 0.875
0.250 0.810 0.375
0.310 0.250 0.125
0.690 0.750 0.125
0.750 0.190 0.375
0.750 0.310 0.875
0.810 0.750 0.625
0.000 0.000 0.500
0.000 0.500 0.750
0.500 0.000 0.250
0.500 0.500 0.000

***

PBE Hf3Tc2Pb, optimized geometry; formation energy from the elements = -2.0 eV/f.u.; space-group type = P4/mmm (123); DOS(E_F) = 2.102 states/eV/f.u.
1.0
3.277 0.000 0.000
0.000 3.277 0.000
0.000 0.000 11.282
Hf Tc Pb
3 2 1
direct
0.000 0.000 0.000
0.000 0.000 0.282
0.000 0.000 0.718
0.500 0.500 0.150
0.500 0.500 0.850
0.500 0.500 0.500

***

PBE K3Pr3GaS8, optimized geometry; raw formation energy = -1423.1 meV per atom; space-group type = R-3m (166); DOS(E_F) = 19.547 states/eV/f.u.
1.0
4.111 2.373 7.518
-4.111 2.373 7.518
0.000 -4.747 7.518
K Pr Ga S
3 3 1 8
direct
0.000 0.500 0.500
0.500 0.000 0.500
0.500 0.500 0.000
0.000 0.000 0.500
0.000 0.500 0.000
0.500 0.000 0.000
0.500 0.500 0.500
0.237 0.237 0.237
0.264 0.713 0.713
0.287 0.287 0.736
0.287 0.736 0.287
0.713 0.264 0.713
0.713 0.713 0.264
0.736 0.287 0.287
0.763 0.763 0.763

***

- Among the records above, which one has the highest DOS(E_F)?
  LaYPu2P4